(1)
{
  "formula": "ZrBeTc",
  "functional": "PBE-GGA",
  "state": "optimized geometry",
  "polymorph_energy_mev_per_atom": 0,
  "space_group": "Imma",
  "volume_a3_per_atom": 15.22,
  "delta_e_f_mev_per_atom": -286,
  "total_magnetization_mub_per_cell": 0.00,
  "lattice_angstrom": [[5.080, 0.000, 0.000], [0.000, 5.091, 0.000], [0.000, 0.000, 7.061]],
  "species": ["Zr", "Zr", "Zr", "Zr", "Be", "Be", "Be", "Be", "Tc", "Tc", "Tc", "Tc"],
  "fractional_positions": [[0.000, 0.250, 0.121], [0.000, 0.750, 0.879], [0.500, 0.250, 0.379], [0.500, 0.750, 0.621], [0.000, 0.000, 0.500], [0.000, 0.500, 0.500], [0.500, 0.000, 0.000], [0.500, 0.500, 0.000], [0.250, 0.250, 0.750], [0.250, 0.750, 0.250], [0.750, 0.250, 0.750], [0.750, 0.750, 0.250]]
}



(2)
{
  "formula": "Ba2MnIn",
  "functional": "PBE-GGA",
  "state": "optimized geometry",
  "polymorph_energy_mev_per_atom": 24,
  "space_group": "Imm2",
  "volume_a3_per_atom": 36.07,
  "delta_e_f_mev_per_atom": 109,
  "total_magnetization_mub_per_cell": 7.77,
  "lattice_angstrom": [[4.185, 0.000, 0.000], [0.000, 5.840, 0.000], [0.000, 0.000, 11.805]],
  "species": ["Ba", "Ba", "Ba", "Ba", "Mn", "Mn", "In", "In"],
  "fractional_positions": [[0.000, 0.000, 0.000], [0.000, 0.500, 0.198], [0.500, 0.000, 0.698], [0.500, 0.500, 0.500], [0.000, 0.000, 0.427], [0.500, 0.500, 0.927], [0.000, 0.500, 0.772], [0.500, 0.000, 0.272]]
}



(3)
{
  "formula": "Y8CS3N3",
  "functional": "PBE-GGA",
  "state": "optimized geometry",
  "space_group": "R-3m",
  "volume_a3_per_atom": 18.99,
  "total_magnetization_mub_per_cell": 0.00,
  "dft_energy_ev_per_atom": -8.12,
  "lattice_angstrom": [[3.634, 2.098, 6.229], [-3.634, 2.098, 6.229], [0.000, -4.196, 6.229]],
  "species": ["Y", "Y", "Y", "Y", "Y", "Y", "Y", "Y", "C", "S", "S", "S", "N", "N", "N"],
  "fractional_positions": [[0.236, 0.236, 0.236], [0.236, 0.739, 0.739], [0.261, 0.261, 0.764], [0.261, 0.764, 0.261], [0.739, 0.236, 0.739], [0.739, 0.739, 0.236], [0.764, 0.261, 0.261], [0.764, 0.764, 0.764], [0.500, 0.500, 0.500], [0.000, 0.500, 0.500], [0.500, 0.000, 0.500], [0.500, 0.500, 0.000], [0.000, 0.000, 0.500], [0.000, 0.500, 0.000], [0.500, 0.000, 0.000]]
}



(4)
{
  "formula": "CoTc2C",
  "functional": "PBE-GGA",
  "state": "optimized geometry",
  "space_group": "I-42d",
  "volume_a3_per_atom": 14.57,
  "delta_e_f_mev_per_atom": 834,
  "total_magnetization_mub_per_cell": 0.00,
  "lattice_angstrom": [[4.921, 0.000, 0.000], [0.000, 4.921, 0.000], [0.000, 0.000, 9.630]],
  "species": ["Co", "Co", "Co", "Co", "Tc", "Tc", "Tc", "Tc", "Tc", "Tc", "Tc", "Tc", "C", "C", "C", "C"],
  "fractional_positions": [[0.000, 0.000, 0.000], [0.000, 0.500, 0.250], [0.500, 0.000, 0.750], [0.500, 0.500, 0.500], [0.198, 0.250, 0.625], [0.250, 0.698, 0.875], [0.250, 0.802, 0.375], [0.302, 0.250, 0.125], [0.698, 0.750, 0.125], [0.750, 0.198, 0.375], [0.750, 0.302, 0.875], [0.802, 0.750, 0.625], [0.000, 0.000, 0.500], [0.000, 0.500, 0.750], [0.500, 0.000, 0.250], [0.500, 0.500, 0.000]]
}



(5)
{
  "formula": "TmBeGa",
  "functional": "PBE-GGA",
  "state": "optimized geometry",
  "polymorph_energy_mev_per_atom": 352,
  "space_group": "I4mm",
  "volume_a3_per_atom": 17.42,
  "delta_e_f_mev_per_atom": -68,
  "total_magnetization_mub_per_cell": 0.39,
  "lattice_angstrom": [[3.140, 0.000, 0.000], [0.000, 3.140, 0.000], [0.000, 0.000, 10.603]],
  "species": ["Tm", "Tm", "Be", "Be", "Ga", "Ga"],
  "fractional_positions": [[0.000, 0.000, 0.000], [0.500, 0.500, 0.500], [0.000, 0.000, 0.318], [0.500, 0.500, 0.818], [0.000, 0.000, 0.705], [0.500, 0.500, 0.205]]
}



(6)
{
  "formula": "Pm3Sm2Dy6Er",
  "functional": "PBE-GGA",
  "state": "optimized geometry",
  "space_group": "C2/m",
  "volume_a3_per_atom": 32.39,
  "delta_e_f_mev_per_atom": 14,
  "total_magnetization_mub_per_cell": 0.00,
  "lattice_angstrom": [[3.103, -5.372, 0.000], [3.103, 5.372, 0.000], [-2.061, 0.000, 11.658]],
  "species": ["Pm", "Pm", "Pm", "Sm", "Sm", "Dy", "Dy", "Dy", "Dy", "Dy", "Dy", "Er"],
  "fractional_positions": [[0.000, 0.000, 0.000], [0.333, 0.667, 0.000], [0.667, 0.333, 0.000], [0.167, 0.833, 0.500], [0.833, 0.167, 0.500], [0.084, 0.417, 0.252], [0.250, 0.250, 0.749], [0.417, 0.084, 0.252], [0.583, 0.916, 0.748], [0.750, 0.750, 0.251], [0.916, 0.583, 0.748], [0.500, 0.500, 0.500]]
}



(7)
{
  "formula": "Pr3Ho2Er6Tm",
  "functional": "PBE-GGA",
  "state": "optimized geometry",
  "space_group": "C2/m",
  "volume_a3_per_atom": 31.83,
  "delta_e_f_mev_per_atom": 24,
  "total_magnetization_mub_per_cell": 0.00,
  "lattice_angstrom": [[3.088, -5.345, 0.000], [3.088, 5.345, 0.000], [-2.054, 0.000, 11.568]],
  "species": ["Pr", "Pr", "Pr", "Ho", "Ho", "Er", "Er", "Er", "Er", "Er", "Er", "Tm"],
  "fractional_positions": [[0.000, 0.000, 0.000], [0.333, 0.667, 0.000], [0.667, 0.333, 0.000], [0.167, 0.833, 0.500], [0.833, 0.167, 0.500], [0.085, 0.418, 0.255], [0.248, 0.248, 0.745], [0.418, 0.085, 0.255], [0.582, 0.915, 0.745], [0.752, 0.752, 0.255], [0.915, 0.582, 0.745], [0.500, 0.500, 0.500]]
}



(8)
{
  "formula": "Fe2HgN",
  "functional": "PBE-GGA",
  "state": "optimized geometry",
  "polymorph_energy_mev_per_atom": 0,
  "space_group": "I-42d",
  "volume_a3_per_atom": 13.42,
  "total_magnetization_mub_per_cell": 9.81,
  "lattice_angstrom": [[5.923, 0.000, 0.000], [0.000, 5.923, 0.000], [0.000, 0.000, 6.119]],
  "species": ["Fe", "Fe", "Fe", "Fe", "Fe", "Fe", "Fe", "Fe", "Hg", "Hg", "Hg", "Hg", "N", "N", "N", "N"],
  "fractional_positions": [[0.116, 0.250, 0.125], [0.250, 0.616, 0.375], [0.250, 0.884, 0.875], [0.384, 0.250, 0.625], [0.616, 0.750, 0.625], [0.750, 0.116, 0.875], [0.750, 0.384, 0.375], [0.884, 0.750, 0.125], [0.000, 0.000, 0.500], [0.000, 0.500, 0.750], [0.500, 0.000, 0.250], [0.500, 0.500, 0.000], [0.000, 0.000, 0.000], [0.000, 0.500, 0.250], [0.500, 0.000, 0.750], [0.500, 0.500, 0.500]]
}